1.
Material: MnSi2Te
Method: DFT, PBE-GGA
State: relaxed

```
MnSi2Te
1.0
1.5166 0.8756 8.4879
-1.5166 0.8756 8.4879
0.0000 -1.7513 8.4879
Mn Si Te
1 2 1
Direct
0.0000 0.0000 0.0000
0.2709 0.2709 0.2709
0.7291 0.7291 0.7291
0.5000 0.5000 0.5000
```

Summary:
* crystal system: trigonal
* formation energy from raw total energies: 0.322 eV/atom
* space group: No. 166


2.
Material: AcLaAgPb
Method: DFT, PBE-GGA
State: relaxed

```
AcLaAgPb
1.0
0.0000 4.0002 4.0002
4.0002 0.0000 4.0002
4.0002 4.0002 0.0000
Ac La Ag Pb
1 1 1 1
Direct
0.0000 0.0000 0.0000
0.5000 0.5000 0.5000
0.7500 0.7500 0.7500
0.2500 0.2500 0.2500
```

Summary:
* crystal system: cubic
* energy relative to the elements: -411 meV/atom
* space group: No. 216


3.
Material: HfTcAs
Method: DFT, PBE-GGA
State: relaxed

```
HfTcAs
1.0
4.5663 0.0000 0.0000
0.0000 3.3393 0.0000
-0.9273 0.0000 6.8908
Hf Tc As
2 2 2
Direct
0.0000 0.0000 0.0000
0.4384 0.0000 0.5701
0.5329 0.5000 0.2422
0.9147 0.5000 0.6677
0.0467 0.5000 0.3379
0.4598 0.5000 0.8849
```

Summary:
* energy above the most stable polymorph in this dataset: 257 meV per atom
* crystal system: monoclinic
* energy relative to the elements: -493 meV/atom
* space group: No. 6


4.
Material: CeRh4Se8
Method: DFT, PBE-GGA
State: relaxed

```
CeRh4Se8
1.0
3.8064 2.1976 5.8698
-3.8064 2.1976 5.8698
0.0000 -4.3952 5.8698
Ce Rh Se
1 4 8
Direct
0.0000 0.0000 0.0000
0.0000 0.0000 0.5000
0.0000 0.5000 0.0000
0.5000 0.0000 0.0000
0.5000 0.5000 0.5000
0.2408 0.2408 0.2408
0.2422 0.7332 0.7332
0.2668 0.2668 0.7578
0.2668 0.7578 0.2668
0.7332 0.2422 0.7332
0.7332 0.7332 0.2422
0.7578 0.2668 0.2668
0.7592 0.7592 0.7592
```

Summary:
* crystal system: trigonal
* formation energy from raw total energies: -0.657 eV/atom
* space group: No. 166


5.
Material: Ba2TaTl
Method: DFT, PBE-GGA
State: relaxed

```
Ba2TaTl
1.0
1.8312 1.0572 11.7110
-1.8312 1.0572 11.7110
0.0000 -2.1145 11.7110
Ba Ta Tl
2 1 1
Direct
0.0000 0.0000 0.0000
0.2194 0.2194 0.2194
0.7423 0.7423 0.7423
0.4709 0.4709 0.4709
```

Summary:
* energy above the most stable polymorph in this dataset: 190 meV per atom
* crystal system: trigonal
* energy relative to the elements: 729 meV/atom
* space group: No. 160


Number 1: magnetic moment 0.35 μB per formula unit. Number 2: magnetic moment 0.72 μB per formula unit. Number 3: magnetic moment 0.00 μB per formula unit. Number 4: magnetic moment 0.25 μB per formula unit. Number 5: magnetic moment 0.14 μB per formula unit.